The following is a DFT calculation (GGA-PBE) of a relaxed ZrSe2BrO crystal.

Properties
**Excess energy over the best structure of this formula in the dataset**: 0.0703 eV/atom
**E_form (uncorrected)**: 0.31 eV per formula unit
**Total energy**: -0.1605 Ha/atom

abc: 5.2211 5.2211 5.3041
angles: 90.00 90.00 90.00
Last column: nearest neighbours and their distance in Å.
Positions (direct):
Zr (0.0000, 0.0000, 0.0000)  4 Se 2.61, 2 Br 2.65
Se (0.0000, 0.5000, 0.0000)  2 Zr 2.61
O (0.5000, 0.5000, 0.5000)  4 Br 3.69, 8 Se 3.72
Br (0.0000, 0.0000, 0.5000)  2 Zr 2.65
Se (0.5000, 0.0000, 0.0000)  2 Zr 2.61